[1]
Here is a geometry-optimized CrSbPS2 structure from Alexandria via LeMat-Bulk. Energies are from PBE.

```
data_CrSbPS2
_chemical_formula_sum 'Cr1 Sb1 P1 S2'
_symmetry_space_group_name_H-M 'P 4/m m m'
_symmetry_Int_Tables_number 123
_symmetry_space_group_name_Hall '-P 4 2'
_cell_length_a 4.3432
_cell_length_b 4.3432
_cell_length_c 5.0119
_cell_angle_alpha 90.00
_cell_angle_beta 90.00
_cell_angle_gamma 90.00
loop_
_atom_site_label
_atom_site_type_symbol
_atom_site_fract_x
_atom_site_fract_y
_atom_site_fract_z
Cr1 Cr 0.0000 0.0000 0.0000
Sb1 Sb 0.5000 0.5000 0.5000
P1 P 0.0000 0.0000 0.5000
S1 S 0.0000 0.5000 0.0000
```

Values from the calculation:
- Calculated volume: 18.91 Å³ per atom
- DOS at the Fermi energy: 5.5 states/eV per cell
- Magnetic moment: 0.000 μB per atom
- E above lowest polymorph: 0 meV per atom

[2]
Here is a geometry-optimized SmSi2Ni2 structure from Alexandria via LeMat-Bulk. Energies are from PBE.

```
data_SmSi2Ni2
_chemical_formula_sum 'Sm2 Si4 Ni4'
_symmetry_space_group_name_H-M 'I 4/m m m'
_symmetry_Int_Tables_number 139
_symmetry_space_group_name_Hall '-I 4 2'
_cell_length_a 4.0229
_cell_length_b 4.0229
_cell_length_c 9.5833
_cell_angle_alpha 90.00
_cell_angle_beta 90.00
_cell_angle_gamma 90.00
loop_
_atom_site_label
_atom_site_type_symbol
_atom_site_fract_x
_atom_site_fract_y
_atom_site_fract_z
Sm1 Sm 0.0000 0.0000 0.0000
Si1 Si 0.0000 0.0000 0.3712
Ni1 Ni 0.0000 0.5000 0.2500
```

Values from the calculation:
- Calculated volume: 15.51 Å³ per atom
- DOS at the Fermi energy: 8.3 states/eV per cell
- Magnetic moment: 0.000 μB per atom
- DFT total energy: -6.260 eV per atom

What did the first record say?
Here is a geometry-optimized CrSbPS2 structure from Alexandria via LeMat-Bulk. Energies are from PBE.

```
data_CrSbPS2
_chemical_formula_sum 'Cr1 Sb1 P1 S2'
_symmetry_space_group_name_H-M 'P 4/m m m'
_symmetry_Int_Tables_number 123
_symmetry_space_group_name_Hall '-P 4 2'
_cell_length_a 4.3432
_cell_length_b 4.3432
_cell_length_c 5.0119
_cell_angle_alpha 90.00
_cell_angle_beta 90.00
_cell_angle_gamma 90.00
loop_
_atom_site_label
_atom_site_type_symbol
_atom_site_fract_x
_atom_site_fract_y
_atom_site_fract_z
Cr1 Cr 0.0000 0.0000 0.0000
Sb1 Sb 0.5000 0.5000 0.5000
P1 P 0.0000 0.0000 0.5000
S1 S 0.0000 0.5000 0.0000
```

Values from the calculation:
- Calculated volume: 18.91 Å³ per atom
- DOS at the Fermi energy: 5.5 states/eV per cell
- Magnetic moment: 0.000 μB per atom
- E above lowest polymorph: 0 meV per atom

Copy entry 1 word for word.
Here is a geometry-optimized CrSbPS2 structure from Alexandria via LeMat-Bulk. Energies are from PBE.

```
data_CrSbPS2
_chemical_formula_sum 'Cr1 Sb1 P1 S2'
_symmetry_space_group_name_H-M 'P 4/m m m'
_symmetry_Int_Tables_number 123
_symmetry_space_group_name_Hall '-P 4 2'
_cell_length_a 4.3432
_cell_length_b 4.3432
_cell_length_c 5.0119
_cell_angle_alpha 90.00
_cell_angle_beta 90.00
_cell_angle_gamma 90.00
loop_
_atom_site_label
_atom_site_type_symbol
_atom_site_fract_x
_atom_site_fract_y
_atom_site_fract_z
Cr1 Cr 0.0000 0.0000 0.0000
Sb1 Sb 0.5000 0.5000 0.5000
P1 P 0.0000 0.0000 0.5000
S1 S 0.0000 0.5000 0.0000
```

Values from the calculation:
- Calculated volume: 18.91 Å³ per atom
- DOS at the Fermi energy: 5.5 states/eV per cell
- Magnetic moment: 0.000 μB per atom
- E above lowest polymorph: 0 meV per atom